Entry from Alexandria via LeMat-Bulk: SmIn2Hg3 after structural relaxation (PBE-GGA).

Lattice parameters (Å, degrees): 4.7769 4.7151 7.1519 109.25 90.00 90.00
Last column: nearest neighbours and their distance in Å.
Fractional coordinates of all 6 atoms:
Hg 0.5000 0.1620 0.3239  4 Hg 3.22-3.35, 2 Sm 3.24, 6 In 3.24-3.36
Hg 0.5000 0.5000 0.0000  4 Hg 3.22, 4 Sm 3.36, 4 In 3.37
Hg 0.5000 0.8380 0.6761  4 Hg 3.22-3.35, 2 Sm 3.24, 6 In 3.24-3.36
Sm 0.0000 0.0000 0.0000  8 Hg 3.24-3.36, 4 In 3.35
In 0.0000 0.3239 0.6478  2 In 3.09, 8 Hg 3.24-3.37, 2 Sm 3.35
In 0.0000 0.6761 0.3522  2 In 3.09, 8 Hg 3.24-3.37, 2 Sm 3.35

Properties
DFT formation energy   -25 kJ per mole of atoms
Space-group type   Cmmm
Mass density   10.72 Mg/m³

Entry from Alexandria via LeMat-Bulk: BaCrTc after structural relaxation (PBE-GGA).

Lattice parameters (Å, degrees): 6.6237 6.6237 6.6237 150.56 150.64 42.06
Last column: nearest neighbours and their distance in Å.
Fractional coordinates of all 3 atoms:
Ba 0.0003 0.0003 0.0000  4 Ba 3.36-3.37, 5 Cr 3.38-3.68, 5 Tc 3.39-3.67
Tc 0.7263 0.7263 0.0000  4 Cr 2.45
Cr 0.2734 0.2734 0.0000  4 Tc 2.45

Properties
DFT formation energy   70 kJ per mole of atoms
Space-group type   I4mm
Mass density   6.83 Mg/m³
Relative energy among the computed polymorphs   0.0 kJ/mol of formula units